LiMgIn2 at its PBEsol-relaxed geometry. Source: Alexandria via LeMat-Bulk, functional SCAN.

Output
* spin magnetization: 0.03 μB/cell
* ΔE_f: -190 meV/atom

Unit cell a=3.2482 b=3.2482 c=28.5331 alpha=90.00 beta=90.00 gamma=120.00
Space group R-3m (No. 166, hexagonal axes)
One atom of each set of equivalent atoms:
Li (0.0000, 0.0000, 0.0000)
Mg (0.0000, 0.0000, 0.5000)
In (0.0000, 0.0000, 0.2535)